Density functional theory data (GGA-PBE) for a geometry-optimized SrZnAg4 structure.

Its mass density is 5.55 g cm⁻³. Its total magnetization is 0.0 μB per formula unit. The electronic total energy comes out at -0.1575 Ry/atom. As for the excess energy over the best structure of this formula in the dataset: 376.0 meV per atom. The value obtained for the energy of formation is 251 meV per atom.

The structure belongs to space group P4/mmm (No. 123); the cell edges are 4.830, 4.830 and 7.497 Å and the angles 90.00°, 90.00° and 90.00°. The asymmetric unit holds Sr at (0.000, 0.000, 0.000), Zn at (0.500, 0.500, 0.500), Ag at (0.000, 0.500, 0.500) and Ag at (0.500, 0.500, 0.174).

Density functional theory data (GGA-PBE) for a geometry-optimized Sr6ZnAg2 structure.

Its mass density is 3.93 g cm⁻³. Its total magnetization is 0.0 μB per formula unit. The electronic total energy comes out at -0.1515 Ry/atom. The value obtained for the energy of formation is -165 meV per atom.

The structure belongs to space group Fmmm (No. 69); the cell edges are 5.631, 14.232 and 16.997 Å and the angles 90.00°, 90.00° and 90.00°. The asymmetric unit holds Sr at (0.000, 0.133, 0.167), Sr at (0.000, 0.134, 0.500), Zn at (0.000, 0.000, 0.000) and Ag at (0.000, 0.000, 0.335).

Density functional theory data (GGA-PBE) for a geometry-optimized SrZn2Ag2 structure.

Its mass density is 6.42 g cm⁻³. Its total magnetization is 0.0 μB per formula unit. The electronic total energy comes out at -0.1618 Ry/atom. As for the excess energy over the best structure of this formula in the dataset: 0.0 meV per atom. The value obtained for the energy of formation is -215 meV per atom.

The structure belongs to space group P4/nmm (No. 129, origin choice 2); the cell edges are 4.565, 4.565 and 10.781 Å and the angles 90.00°, 90.00° and 90.00°. The asymmetric unit holds Sr at (0.250, 0.250, 0.249), Zn at (0.250, 0.250, 0.872), Zn at (0.250, 0.750, 0.500), Ag at (0.250, 0.250, 0.630) and Ag at (0.250, 0.750, 0.000).

Density functional theory data (GGA-PBE) for a geometry-optimized Sr6ZnAg5 structure.

Its mass density is 5.16 g cm⁻³. Its total magnetization is 0.0 μB per formula unit. The electronic total energy comes out at -0.1751 Ry/atom. The value obtained for the energy of formation is -247 meV per atom.

The structure belongs to space group P2/m (No. 10); the cell edges are 5.549, 7.868 and 8.774 Å and the angles 90.00°, 108.31° and 90.00°. The asymmetric unit holds Sr at (0.000, 0.249, 0.000), Sr at (0.334, 0.248, 0.668), Zn at (0.500, 0.000, 0.000), Ag at (0.164, 0.000, 0.330), Ag at (0.167, 0.500, 0.336) and Ag at (0.500, 0.500, 0.000).

Density functional theory data (GGA-PBE) for a geometry-optimized SrZn6Ag2 structure.

Its mass density is 6.44 g cm⁻³. Its total magnetization is 0.0 μB per formula unit. The electronic total energy comes out at -0.1271 Ry/atom. The value obtained for the energy of formation is -59 meV per atom.

The structure belongs to space group Immm (No. 71); the cell edges are 4.274, 6.853 and 12.243 Å and the angles 90.00°, 90.00° and 90.00°. The asymmetric unit holds Sr at (0.000, 0.000, 0.000), Zn at (0.000, 0.177, 0.500), Zn at (0.000, 0.295, 0.306) and Ag at (0.000, 0.500, 0.119).

Density functional theory data (GGA-PBE) for a geometry-optimized Sr2ZnAg4 structure.

Its mass density is 6.35 g cm⁻³. Its total magnetization is 0.0 μB per formula unit. The electronic total energy comes out at -0.1863 Ry/atom. The value obtained for the energy of formation is -243 meV per atom.

The structure belongs to space group P2_1/m (No. 11); the cell edges are 6.175, 6.456 and 9.077 Å and the angles 90.00°, 103.58° and 90.00°. The asymmetric unit holds Sr at (0.129, 0.250, 0.402), Sr at (0.272, 0.750, 0.028), Zn at (0.125, 0.250, 0.775), Ag at (0.269, 0.250, 0.076), Ag at (0.294, 0.750, 0.406) and Ag at (0.402, 0.531, 0.697).

Density functional theory data (GGA-PBE) for a geometry-optimized Sr5Zn2Ag5 structure.

Its mass density is 5.20 g cm⁻³. Its total magnetization is 0.0 μB per formula unit. The electronic total energy comes out at -0.1735 Ry/atom. The value obtained for the energy of formation is -260 meV per atom.

The structure belongs to space group C2/m (No. 12); the cell edges are 16.686, 4.422 and 12.684 Å and the angles 90.00°, 130.91° and 90.00°. The asymmetric unit holds Sr at (0.000, 0.000, 0.000), Sr at (0.106, 0.000, 0.416), Sr at (0.201, 0.000, 0.826), Zn at (0.147, 0.500, 0.259), Ag at (0.000, 0.500, 0.500), Ag at (0.056, 0.500, 0.847) and Ag at (0.235, 0.500, 0.669).

Density functional theory data (GGA-PBE) for a geometry-optimized Sr2ZnAg structure.

Its mass density is 4.79 g cm⁻³. Its total magnetization is 0.0 μB per formula unit. The electronic total energy comes out at -0.1478 Ry/atom. The value obtained for the energy of formation is -139 meV per atom.

The structure belongs to space group Imm2 (No. 44); the cell edges are 3.924, 5.387 and 11.430 Å and the angles 90.00°, 90.00° and 90.00°. The asymmetric unit holds Sr at (0.000, 0.000, 0.000), Sr at (0.000, 0.500, 0.208), Zn at (0.000, 0.000, 0.438) and Ag at (0.000, 0.500, 0.772).